A plane-wave DFT calculation with PBE+U was carried out for crystalline NaMoPtO5 at its relaxed geometry.

## Properties
- final energy (eV for the cell shown) = -197.90
- DOS at the Fermi energy (states/eV/cell) = 13.6

Geometry as CIF:
```
data_NaMoPtO5
_cell_length_a 6.840
_cell_length_b 13.930
_cell_length_c 6.834
_cell_angle_alpha 90.00
_cell_angle_beta 117.38
_cell_angle_gamma 90.00
_space_group_name_H-M_alt 'C 1 2/c 1'
_space_group_IT_number 15
_space_group_name_Hall '-C 2yc'
loop_
_atom_site_label
_atom_site_type_symbol
_atom_site_fract_x
_atom_site_fract_y
_atom_site_fract_z
Na1 Na 0.000 0.234 0.250
Mo1 Mo 0.000 0.360 0.750
Pt1 Pt 0.000 0.000 0.000
O1 O 0.000 0.063 0.250
O2 O 0.104 0.287 0.607
O3 O 0.224 0.433 0.954
```